Material: PmAs2Pb
Method: DFT, PBE
State: optimized geometry

```
PmAs2Pb
1.0
-2.760 -3.457 -1.022
-1.503 -2.752 3.283
-7.836 2.731 1.842
As Pm Pb
2 1 1
Cartesian
-6.384 -4.621 2.621
-5.714 1.144 1.482
-6.049 -1.739 2.052
0.000 0.000 0.000
```

Summary:
Theoretical density, g/cm3: 5.8
ΔH_f (0 K), eV/atom: -0.2010
SG: R-3m
Total magnetization, μB per atom: 0.000
Relative energy among the computed polymorphs, eV per atom: 0.381